[1]
## NiPt2W (PBE)

Data for a relaxed NiPt2W crystal.

Cell lengths 4.7373, 4.7373, 4.7590 Å; angles 80.07, 80.07, 33.86 degrees
With the nearest neighbours (Å) after each atom.
Positions (direct):
Ni1 0.2464 0.2464 0.2528  7 Pt 2.67-2.83, 3 W 2.68-2.80, 2 Ni 2.76
W1 0.5041 0.5041 0.4999  3 Ni 2.68-2.80, 7 Pt 2.68-2.81, 2 W 2.76
Pt1 0.9964 0.9964 0.0162  4 W 2.70-2.81, 3 Ni 2.71-2.72, 5 Pt 2.76-2.83
Pt2 0.7530 0.7530 0.7311  4 Ni 2.67-2.83, 3 W 2.68-2.72, 5 Pt 2.76-2.83

Distance to the lowest polymorph of the same formula = 80 meV/atom



[2]
## Ni4Pt2W (PBE)

Data for a relaxed Ni4Pt2W crystal.

Cell lengths 4.4309, 4.4309, 6.8601 Å; angles 71.16, 71.16, 90.00 degrees
With the nearest neighbours (Å) after each atom.
Positions (direct):
Ni1 0.1865 0.1865 0.6269  1 W 2.28, 1 Pt 2.44
Ni2 0.8135 0.8135 0.3731  1 W 2.28, 1 Pt 2.44
Ni3 0.0000 0.5000 0.0000  2 W 2.22
Ni4 0.5000 0.0000 0.0000  2 W 2.22
W1 0.0000 0.0000 0.0000  6 Ni 2.22-2.28
Pt1 0.3867 0.3867 0.2266  5 Ni 2.44-2.61
Pt2 0.6133 0.6133 0.7734  5 Ni 2.44-2.61

Distance to the lowest polymorph of the same formula = 840 meV/atom



[3]
## Ni7PtW2 (PBE)

Data for a relaxed Ni7PtW2 crystal.

Cell lengths 3.6504, 7.2846, 7.2846 Å; angles 128.76, 90.00, 90.00 degrees
With the nearest neighbours (Å) after each atom.
Positions (direct):
Ni1 0.0000 0.8113 0.1887  2 W 2.33, 4 Ni 2.46, 1 Pt 2.48
Ni2 0.0000 0.1887 0.8113  2 W 2.33, 4 Ni 2.46, 1 Pt 2.48
Ni3 0.5000 0.0880 0.2941  1 W 2.33, 4 Ni 2.37-2.46, 2 Pt 2.57
Ni4 0.5000 0.9120 0.7059  1 W 2.33, 4 Ni 2.37-2.46, 2 Pt 2.57
Ni5 0.5000 0.2941 0.0880  1 W 2.33, 4 Ni 2.37-2.46, 2 Pt 2.57
Ni6 0.5000 0.7059 0.9120  1 W 2.33, 4 Ni 2.37-2.46, 2 Pt 2.57
Ni7 0.5000 0.5000 0.5000  4 Ni 2.37, 2 W 2.64
Pt1 0.0000 0.0000 0.0000  10 Ni 2.48-2.57
W1 0.5000 0.7010 0.2990  4 Ni 2.33
W2 0.5000 0.2990 0.7010  4 Ni 2.33



[4]
## NiPtW2 (PBE)

Data for a relaxed NiPtW2 crystal.

Cell lengths 2.7041, 4.0059, 5.4100 Å; angles 90.00, 90.00, 90.00 degrees
With the nearest neighbours (Å) after each atom.
Positions (direct):
Ni1 0.5000 0.5000 0.2500  2 Ni 2.70, 2 Pt 2.71, 8 W 2.74
Pt1 0.5000 0.5000 0.7500  2 Pt 2.70, 2 Ni 2.71, 8 W 2.80
W1 0.0000 0.0000 0.0123  4 W 2.57-2.84, 4 Ni 2.74, 4 Pt 2.80
W2 0.0000 0.0000 0.4877  4 W 2.57-2.84, 4 Ni 2.74, 4 Pt 2.80

Distance to the lowest polymorph of the same formula = 28 meV/atom



| no. | DOS at the Fermi energy (states/eV per cell) | energy (eV for the cell shown) |
| --- | --- | --- |
| 1 | 4.2 | -31.6 |
| 2 | 4.5 | -41.4 |
| 3 | 11.4 | -66.2 |
| 4 | 4.1 | -38.0 |